Computed, not measured: an optimized crystal structure of InPW4 at the PBE-GGA level of DFT.

The value obtained for the theoretical density is 13.505 g/cm³. The density of states at the Fermi level is 0.92 states/eV/atom. The calculation puts the energy of formation from the pure elements at 0.82 eV/atom.

Geometry as CIF:
```
data_InPW4
_cell_length_a 7.567
_cell_length_b 7.567
_cell_length_c 7.567
_cell_angle_alpha 90.00
_cell_angle_beta 90.00
_cell_angle_gamma 90.00
_space_group_name_H-M_alt 'F -4 3 m'
_space_group_IT_number 216
_space_group_name_Hall 'F -4 2 3'
loop_
_atom_site_label
_atom_site_type_symbol
_atom_site_fract_x
_atom_site_fract_y
_atom_site_fract_z
In1 In 0.000 0.000 0.000
P1 P 0.250 0.250 0.750
W1 W 0.125 0.125 0.375
```